[1]
PuInO5 after structural relaxation. Source: Alexandria via LeMat-Bulk, functional GGA-PBE.

Values from the calculation:
Fermi-level density of states ... 0.20 states/eV/cell
E_form (uncorrected) ... -178.6 kJ per mole of atoms

Cell lengths 4.028, 5.576, 5.576 Å; angles 72.61, 68.83, 68.83 degrees
Fractional coordinates of all 7 atoms:
O1 0.000 0.697 0.303
O2 0.000 0.303 0.697
O3 0.500 0.000 0.000
In1 0.500 0.500 0.500
O4 0.244 0.756 0.756
O5 0.756 0.244 0.244
Pu1 0.000 0.000 0.000

[2]
Rb3Pr2DyS6 after structural relaxation. Source: Alexandria via LeMat-Bulk, functional GGA-PBE.

Values from the calculation:
Fermi-level density of states ... 0.00 states/eV/cell
E_form (uncorrected) ... -176.2 kJ per mole of atoms

Cell lengths 7.273, 7.273, 8.089 Å; angles 98.63, 98.63, 120.00 degrees
Fractional coordinates of all 12 atoms:
Pr1 0.333 0.667 0.000
S1 0.258 0.258 0.804
S2 0.065 0.389 0.196
S3 0.389 0.065 0.196
Dy1 0.000 0.000 0.000
Rb1 0.168 0.832 0.500
Rb2 0.832 0.168 0.500
S4 0.935 0.611 0.804
Pr2 0.667 0.333 0.000
Rb3 0.500 0.500 0.500
S5 0.742 0.742 0.196
S6 0.611 0.935 0.804

[3]
MnPSeSN after structural relaxation. Source: Alexandria via LeMat-Bulk, functional GGA-PBE.

Values from the calculation:
Distance to the lowest polymorph of the same formula ... 61.9 meV/atom
Fermi-level density of states ... 1.82 states/eV/cell
E_form (uncorrected) ... -5.6 kJ per mole of atoms

Cell lengths 3.708, 5.235, 6.481 Å; angles 65.39, 74.00, 75.49 degrees
Fractional coordinates of all 5 atoms:
Mn1 0.438 0.884 0.413
Se1 0.651 0.699 0.108
N1 0.902 0.007 0.418
S1 0.465 0.423 0.681
P1 0.586 0.288 0.410

[4]
Cs5NdS4 after structural relaxation. Source: Alexandria via LeMat-Bulk, functional GGA-PBE.

Values from the calculation:
E_form (uncorrected) ... -116.7 kJ per mole of atoms

Cell lengths 4.608, 9.178, 10.713 Å; angles 106.87, 102.42, 90.00 degrees
Fractional coordinates of all 10 atoms:
Nd1 0.500 0.000 0.000
S1 0.646 0.104 0.292
S2 0.999 0.210 0.999
S3 0.354 0.896 0.708
Cs1 0.833 0.132 0.666
S4 0.001 0.790 0.001
Cs2 0.167 0.868 0.334
Cs3 0.839 0.645 0.679
Cs4 0.500 0.500 0.000
Cs5 0.161 0.355 0.321

[5]
LaY2CdCo after structural relaxation. Source: Alexandria via LeMat-Bulk, functional GGA-PBE.

Values from the calculation:
ΔH_f (0 K) ... -51 meV per atom
Distance to the lowest polymorph of the same formula ... 75.4 meV/atom
Fermi-level density of states ... 4.48 states/eV/cell

Cell lengths 5.135, 5.135, 5.225 Å; angles 90.00, 90.00, 90.00 degrees
Fractional coordinates of all 5 atoms:
Y1 0.000 0.500 0.000
La1 0.500 0.500 0.500
Co1 0.000 0.000 0.000
Y2 0.500 0.000 0.000
Cd1 0.000 0.000 0.500

[6]
La2HgH after structural relaxation. Source: Alexandria via LeMat-Bulk, functional GGA-PBE.

Values from the calculation:
Distance to the lowest polymorph of the same formula ... 232.6 meV/atom
Fermi-level density of states ... 4.76 states/eV/cell

Cell lengths 3.481, 3.481, 7.661 Å; angles 90.00, 90.00, 90.00 degrees
Fractional coordinates of all 4 atoms:
Hg1 0.500 0.500 0.500
H1 0.500 0.500 0.000
La1 0.000 0.000 0.209
La2 0.000 0.000 0.791

[7]
Ca2BeSe after structural relaxation. Source: Alexandria via LeMat-Bulk, functional GGA-PBE.

Values from the calculation:
Distance to the lowest polymorph of the same formula ... 0.0 meV/atom
Fermi-level density of states ... 1.41 states/eV/cell
E_form (uncorrected) ... -57.2 kJ per mole of atoms

Cell lengths 3.684, 3.675, 7.728 Å; angles 61.64, 90.00, 90.00 degrees
Fractional coordinates of all 4 atoms:
Ca1 0.000 0.003 0.997
Be1 0.500 0.750 0.750
Ca2 0.000 0.497 0.503
Se1 0.500 0.250 0.250

[8]
AgPt2 after structural relaxation. Source: Alexandria via LeMat-Bulk, functional GGA-PBE.

Values from the calculation:
ΔH_f (0 K) ... 50 meV per atom
Distance to the lowest polymorph of the same formula ... 58.0 meV/atom
Fermi-level density of states ... 15.77 states/eV/cell

Cell lengths 6.315, 6.315, 4.974 Å; angles 83.38, 83.38, 84.55 degrees
Fractional coordinates of all 12 atoms:
Pt1 0.836 0.164 0.500
Pt2 0.750 0.753 0.739
Pt3 0.496 0.504 0.500
Ag1 0.417 0.086 0.755
Ag2 0.001 0.999 0.000
Ag3 0.670 0.330 0.000
Pt4 0.167 0.833 0.500
Ag4 0.914 0.583 0.245
Pt5 0.086 0.425 0.745
Pt6 0.247 0.250 0.261
Pt7 0.341 0.659 0.000
Pt8 0.575 0.914 0.255

[9]
Er2Zr2Sc3 after structural relaxation. Source: Alexandria via LeMat-Bulk, functional GGA-PBE.

Values from the calculation:
ΔH_f (0 K) ... 52 meV per atom
Fermi-level density of states ... 10.37 states/eV/cell

Cell lengths 3.303, 10.920, 10.387 Å; angles 40.59, 71.41, 98.69 degrees
Fractional coordinates of all 7 atoms:
Er1 0.559 0.853 0.866
Zr1 0.724 0.572 0.562
Er2 0.441 0.147 0.134
Sc1 0.139 0.705 0.714
Sc2 0.000 0.000 0.000
Zr2 0.276 0.428 0.438
Sc3 0.861 0.295 0.286

[10]
Mn4VSi2 after structural relaxation. Source: Alexandria via LeMat-Bulk, functional GGA-PBE.

Values from the calculation:
Fermi-level density of states ... 6.21 states/eV/cell
E_form (uncorrected) ... 62.9 kJ per mole of atoms

Cell lengths 4.140, 4.140, 7.016 Å; angles 72.84, 72.84, 90.00 degrees
Fractional coordinates of all 7 atoms:
Mn1 0.000 0.500 0.000
Mn2 0.500 0.000 0.000
V1 0.000 0.000 0.000
Mn3 0.190 0.190 0.620
Si1 0.616 0.616 0.767
Mn4 0.810 0.810 0.380
Si2 0.384 0.384 0.233

[11]
LiCeCd after structural relaxation. Source: Alexandria via LeMat-Bulk, functional GGA-PBE.

Values from the calculation:
ΔH_f (0 K) ... -56 meV per atom
Distance to the lowest polymorph of the same formula ... 68.6 meV/atom
Fermi-level density of states ... 5.62 states/eV/cell

Cell lengths 3.118, 3.118, 7.205 Å; angles 102.50, 102.50, 90.00 degrees
Fractional coordinates of all 3 atoms:
Ce1 0.002 0.002 0.003
Li1 0.313 0.313 0.626
Cd1 0.686 0.686 0.371

[12]
Tb3SmN4 after structural relaxation. Source: Alexandria via LeMat-Bulk, functional GGA-PBE.

Values from the calculation:
Distance to the lowest polymorph of the same formula ... 0.0 meV/atom
Fermi-level density of states ... 0.23 states/eV/cell
E_form (uncorrected) ... -155.6 kJ per mole of atoms

Cell lengths 3.521, 6.098, 6.098 Å; angles 70.55, 90.00, 90.00 degrees
Fractional coordinates of all 8 atoms:
N1 0.500 0.752 0.252
N2 0.500 0.248 0.748
Tb1 0.000 0.000 0.000
Sm1 0.500 0.500 0.000
Tb2 0.500 0.000 0.500
Tb3 0.000 0.500 0.500
N3 0.000 0.754 0.746
N4 0.000 0.246 0.254

[13]
Y4Ho5In after structural relaxation. Source: Alexandria via LeMat-Bulk, functional GGA-PBE.

Values from the calculation:
ΔH_f (0 K) ... 72 meV per atom
Distance to the lowest polymorph of the same formula ... 0.0 meV/atom
Fermi-level density of states ... 15.96 states/eV/cell

Cell lengths 3.529, 10.979, 8.655 Å; angles 83.30, 101.76, 90.00 degrees
Fractional coordinates of all 10 atoms:
Ho1 0.500 0.500 0.000
Y1 0.326 0.734 0.652
Y2 0.674 0.266 0.348
In1 0.500 0.000 0.000
Ho2 0.161 0.978 0.321
Y3 0.003 0.765 0.005
Y4 0.997 0.235 0.995
Ho3 0.831 0.444 0.663
Ho4 0.169 0.556 0.337
Ho5 0.839 0.022 0.679

[14]
InSi2TeCl after structural relaxation. Source: Alexandria via LeMat-Bulk, functional GGA-PBE.

Values from the calculation:
Fermi-level density of states ... 4.04 states/eV/cell
E_form (uncorrected) ... 74.4 kJ per mole of atoms

Cell lengths 5.230, 6.007, 5.230 Å; angles 90.00, 90.00, 90.00 degrees
Fractional coordinates of all 5 atoms:
In1 0.500 0.500 0.500
Si1 0.500 0.000 0.000
Si2 0.000 0.000 0.500
Cl1 0.000 0.500 0.000
Te1 0.000 0.000 0.000

[15]
Sm10Dy4Ho after structural relaxation. Source: Alexandria via LeMat-Bulk, functional GGA-PBE.

Values from the calculation:
ΔH_f (0 K) ... 710 meV per atom
Fermi-level density of states ... 19.31 states/eV/cell

Cell lengths 7.743, 9.499, 9.499 Å; angles 80.44, 65.95, 65.95 degrees
Fractional coordinates of all 15 atoms:
Dy1 0.400 0.801 0.400
Sm1 0.651 0.300 0.899
Dy2 0.600 0.199 0.600
Dy3 0.200 0.400 0.199
Dy4 0.800 0.600 0.801
Sm2 0.050 0.101 0.300
Sm3 0.450 0.899 0.700
Sm4 0.349 0.700 0.101
Sm5 0.850 0.700 0.101
Sm6 0.550 0.101 0.300
Sm7 0.950 0.899 0.700
Sm8 0.250 0.500 0.500
Sm9 0.150 0.300 0.899
Ho1 0.000 0.000 0.000
Sm10 0.750 0.500 0.500

[16]
Mn2SbAs after structural relaxation. Source: Alexandria via LeMat-Bulk, functional GGA-PBE.

Values from the calculation:
Fermi-level density of states ... 3.92 states/eV/cell
E_form (uncorrected) ... 26.6 kJ per mole of atoms

Cell lengths 3.037, 3.037, 6.214 Å; angles 90.00, 90.00, 90.00 degrees
Fractional coordinates of all 4 atoms:
Mn1 0.000 0.000 0.526
Mn2 0.000 0.000 0.974
As1 0.500 0.500 0.750
Sb1 0.500 0.500 0.250

[17]
ZrAs2Os after structural relaxation. Source: Alexandria via LeMat-Bulk, functional GGA-PBE.

Values from the calculation:
ΔH_f (0 K) ... -260 meV per atom
Distance to the lowest polymorph of the same formula ... 126.5 meV/atom
Fermi-level density of states ... 2.11 states/eV/cell

Cell lengths 3.156, 3.755, 5.844 Å; angles 90.00, 90.00, 90.00 degrees
Fractional coordinates of all 4 atoms:
Os1 0.000 0.000 0.447
As1 0.000 0.000 0.985
As2 0.500 0.500 0.290
Zr1 0.500 0.500 0.778

[18]
As2Se after structural relaxation. Source: Alexandria via LeMat-Bulk, functional GGA-PBE.

Values from the calculation:
Distance to the lowest polymorph of the same formula ... 70.7 meV/atom
Fermi-level density of states ... 2.61 states/eV/cell
E_form (uncorrected) ... 10.5 kJ per mole of atoms

Cell lengths 5.643, 5.643, 8.687 Å; angles 74.15, 74.15, 36.94 degrees
Fractional coordinates of all 6 atoms:
As1 0.268 0.268 0.687
Se1 0.004 0.004 0.361
As2 0.019 0.019 0.078
As3 0.685 0.685 0.383
Se2 0.251 0.251 0.977
As4 0.606 0.606 0.680

[19]
HoHf2Al after structural relaxation. Source: Alexandria via LeMat-Bulk, functional GGA-PBE.

Values from the calculation:
ΔH_f (0 K) ... -128 meV per atom
Distance to the lowest polymorph of the same formula ... 0.0 meV/atom
Fermi-level density of states ... 2.52 states/eV/cell

Cell lengths 4.439, 4.449, 4.449 Å; angles 90.00, 90.00, 90.00 degrees
Fractional coordinates of all 4 atoms:
Ho1 0.500 0.500 0.500
Al1 0.500 0.000 0.000
Hf1 0.000 0.000 0.500
Hf2 0.000 0.500 0.000

[20]
LiAgCl2 after structural relaxation. Source: Alexandria via LeMat-Bulk, functional GGA-PBE.

Values from the calculation:
Fermi-level density of states ... 0.00 states/eV/cell
E_form (uncorrected) ... -108.4 kJ per mole of atoms

Cell lengths 4.072, 4.072, 7.169 Å; angles 73.50, 73.50, 60.00 degrees
Fractional coordinates of all 4 atoms:
Ag1 0.481 0.481 0.558
Cl1 0.870 0.870 0.390
Li1 0.987 0.987 0.038
Cl2 0.354 0.354 0.937

Which calculated total energy belongs to each record? In order, -7.831; -5.312; -6.161; -3.764; -5.227; -3.567; -3.396; -4.927; -6.407; -7.440; -2.977; -8.102; -5.077; -2.943; -3.969; -6.502; -7.529; -4.153; -7.184; -3.238 eV/atom.
Which calculated density belongs to each record? In order, 6.819; 4.195; 3.225; 3.683; 5.883; 8.575; 3.032; 16.961; 6.082; 4.967; 6.460; 9.188; 6.597; 3.376; 6.608; 8.881; 10.341; 4.774; 10.373; 3.170 g/cm3.
Which size of the total moment belongs to each record? In order, 0.1428; 0.0000; 0.6003; 0.0000; 0.0002; 0.0014; 0.0000; 0.0000; 0.0000; 1.2035; 0.1741; 0.0000; 0.0000; 0.0000; 0.0000; 0.1523; 0.0000; 0.0000; 0.0000; 0.0000 μB per atom.